Record 1
The following is a GGA-PBE calculation of a relaxed AcHoTl3 crystal, from Alexandria.

Geometry as POSCAR:
```
AcHoTl3
1.0
9.4172 -2.5995 0.0000
9.4172 2.5995 0.0000
-1.2273 0.0000 6.5283
Ac Ho Tl
2 2 6
Direct
0.0894 0.0894 0.3157
0.9106 0.9106 0.6843
0.2897 0.2897 0.1635
0.7103 0.7103 0.8365
0.1229 0.1229 0.8394
0.2809 0.2809 0.6537
0.4719 0.4719 0.2361
0.5281 0.5281 0.7639
0.7191 0.7191 0.3463
0.8771 0.8771 0.1606
```

Summary:
magnetic moment	0.0	μB/f.u.
formation energy	-128	kJ/mol of formula units
V	320	Å³ per cell
space group	C2/m, No. 12

---

Record 2
The following is a GGA-PBE calculation of a relaxed Be3FeGe crystal, from Alexandria.

Geometry as POSCAR:
```
Be3FeGe
1.0
3.9960 0.0000 0.0000
0.0000 3.9960 0.0000
0.0000 0.0000 3.9960
Be Fe Ge
3 1 1
Direct
0.0000 0.0000 0.5000
0.0000 0.5000 0.0000
0.5000 0.0000 0.0000
0.0000 0.0000 0.0000
0.5000 0.5000 0.5000
```

Summary:
magnetic moment	0.0	μB/f.u.
formation energy	369	kJ/mol of formula units
V	64	Å³ per cell
space group	Pm-3m, No. 221
ΔE to the lowest computed polymorph	0.000	eV/atom

---

Record 3
The following is a GGA-PBE calculation of a relaxed ZnSiIrBr2 crystal, from Alexandria.

Geometry as POSCAR:
```
ZnSiIrBr2
1.0
4.9855 0.0000 0.0000
0.0000 4.9855 0.0000
0.0000 0.0000 4.8458
Zn Si Ir Br
1 1 1 2
Direct
0.0000 0.0000 0.0000
0.0000 0.0000 0.5000
0.5000 0.5000 0.5000
0.0000 0.5000 0.0000
0.5000 0.0000 0.0000
```

Summary:
magnetic moment	2.0	μB/f.u.
total energy	-2.51	eV per atom
V	120	Å³ per cell
space group	P4/mmm, No. 123